[1]
! Pr3ErHg2 | Alexandria | GGA-PBE | optimized geometry; values from VASP
&SYSTEM
  ibrav = 0, nat = 12, ntyp = 3
/
ATOMIC_SPECIES
Pr 140.91 Pr.upf
Er 167.26 Er.upf
Hg 200.59 Hg.upf
ATOMIC_POSITIONS crystal
Pr 0.000 0.051 0.000
Pr 0.000 0.332 0.330
Pr 0.000 0.668 0.830
Pr 0.000 0.949 0.500
Pr 0.500 0.178 0.691
Pr 0.500 0.822 0.191
Er 0.500 0.449 0.026
Er 0.500 0.551 0.526
Hg 0.000 0.351 0.789
Hg 0.000 0.649 0.289
Hg 0.500 0.155 0.238
Hg 0.500 0.845 0.738
CELL_PARAMETERS angstrom
5.334 0.000 0.000
0.000 9.668 0.000
0.000 0.000 7.047
! - Total DFT energy (no corrections): -3.57 eV per atom
! - Energy above the lowest structure with this stoichiometry: 0 meV/atom
! - ΔE_f: -0.32 eV per atom

---

[2]
! Hf2Ag2Sn | Alexandria | GGA-PBE | optimized geometry; values from VASP
&SYSTEM
  ibrav = 0, nat = 10, ntyp = 3
/
ATOMIC_SPECIES
Hf 178.49 Hf.upf
Ag 107.87 Ag.upf
Sn 118.71 Sn.upf
ATOMIC_POSITIONS crystal
Hf 0.173 0.327 0.000
Hf 0.327 0.827 0.000
Hf 0.673 0.173 0.000
Hf 0.827 0.673 0.000
Ag 0.124 0.624 0.500
Ag 0.376 0.124 0.500
Ag 0.624 0.876 0.500
Ag 0.876 0.376 0.500
Sn 0.000 0.000 0.500
Sn 0.500 0.500 0.500
CELL_PARAMETERS angstrom
7.936 0.000 0.000
0.000 7.936 0.000
0.000 0.000 3.290
! - Total DFT energy (no corrections): -5.88 eV per atom
! - Energy above the lowest structure with this stoichiometry: 0 meV/atom
! - ΔE_f: 0.05 eV per atom

---

[3]
! KPtBr | Alexandria | GGA-PBE | optimized geometry; values from VASP
&SYSTEM
  ibrav = 0, nat = 3, ntyp = 3
/
ATOMIC_SPECIES
K 39.10 K.upf
Pt 195.08 Pt.upf
Br 79.90 Br.upf
ATOMIC_POSITIONS crystal
K 0.000 0.000 0.000
Pt 0.667 0.333 0.500
Br 0.333 0.667 0.500
CELL_PARAMETERS angstrom
4.473 0.000 0.000
-2.236 3.874 0.000
0.000 0.000 4.762
! - Total DFT energy (no corrections): -3.26 eV per atom
! - Energy above the lowest structure with this stoichiometry: 352 meV/atom